No. 1
# Cs3YPb (PBEsol, optimized geometry)
data_Cs3YPb
_chemical_formula_sum 'Cs3 Y1 Pb1'
_space_group_name_H-M_alt 'P m -3 m'
_space_group_IT_number 221
_space_group_name_Hall '-P 4 2 3'
_cell_length_a 6.900
_cell_length_b 6.900
_cell_length_c 6.900
_cell_angle_alpha 90.00
_cell_angle_beta 90.00
_cell_angle_gamma 90.00
loop_
_atom_site_label
_atom_site_type_symbol
_atom_site_fract_x
_atom_site_fract_y
_atom_site_fract_z
Cs1 Cs 0.000 0.000 0.500
Y1 Y 0.000 0.000 0.000
Pb1 Pb 0.500 0.500 0.500
# M_tot: 5.25 μB per cell
# Energy of formation: 999 meV/atom

***

No. 2
# ZrCu2Pb (PBEsol, optimized geometry)
data_ZrCu2Pb
_chemical_formula_sum 'Zr2 Cu4 Pb2'
_space_group_name_H-M_alt 'C 1 2/m 1'
_space_group_IT_number 12
_cell_length_a 8.917
_cell_length_b 3.137
_cell_length_c 5.293
_cell_angle_alpha 90.00
_cell_angle_beta 97.86
_cell_angle_gamma 90.00
loop_
_space_group_symop_operation_xyz
'x,y,z'
'-x,-y,-z'
'-x,y,-z'
'x,-y,z'
'x+1/2,y+1/2,z'
'-x+1/2,-y+1/2,-z'
'-x+1/2,y+1/2,-z'
'x+1/2,-y+1/2,z'
loop_
_atom_site_label
_atom_site_type_symbol
_atom_site_fract_x
_atom_site_fract_y
_atom_site_fract_z
Zr1 Zr 0.000 0.000 0.000
Cu1 Cu 0.240 0.500 0.196
Pb1 Pb 0.000 0.500 0.500
# M_tot: 0.00 μB per cell
# Energy of formation: 113 meV/atom

***

No. 3
# SiPt2Au (PBEsol, optimized geometry)
data_SiPt2Au
_chemical_formula_sum 'Si1 Pt2 Au1'
_space_group_name_H-M_alt 'P m m 2'
_space_group_IT_number 25
_cell_length_a 2.832
_cell_length_b 3.858
_cell_length_c 5.621
_cell_angle_alpha 90.00
_cell_angle_beta 90.00
_cell_angle_gamma 90.00
loop_
_space_group_symop_operation_xyz
'x,y,z'
'-x,-y,z'
'-x,y,z'
'x,-y,z'
loop_
_atom_site_label
_atom_site_type_symbol
_atom_site_fract_x
_atom_site_fract_y
_atom_site_fract_z
Si1 Si 0.000 0.000 0.000
Pt1 Pt 0.000 0.000 0.563
Pt2 Pt 0.500 0.500 0.834
Au1 Au 0.500 0.500 0.315
# M_tot: 0.00 μB per cell
# Energy relative to the elements, uncorrected: -0.110 eV/atom

***

No. 4
# LiSi2Tc (PBEsol, optimized geometry)
data_LiSi2Tc
_chemical_formula_sum 'Li2 Si4 Tc2'
_space_group_name_H-M_alt 'C m m 2'
_space_group_IT_number 35
_cell_length_a 3.238
_cell_length_b 4.169
_cell_length_c 8.148
_cell_angle_alpha 90.00
_cell_angle_beta 90.00
_cell_angle_gamma 90.00
loop_
_space_group_symop_operation_xyz
'x,y,z'
'-x,-y,z'
'-x,y,z'
'x,-y,z'
'x+1/2,y+1/2,z'
'-x+1/2,-y+1/2,z'
'-x+1/2,y+1/2,z'
'x+1/2,-y+1/2,z'
loop_
_atom_site_label
_atom_site_type_symbol
_atom_site_fract_x
_atom_site_fract_y
_atom_site_fract_z
Li1 Li 0.000 0.000 0.000
Si1 Si 0.000 0.000 0.505
Si2 Si 0.000 0.500 0.258
Tc1 Tc 0.000 0.500 0.731
# M_tot: 0.00 μB per cell
# Energy relative to the elements, uncorrected: 0.155 eV/atom
# Energy above the most stable polymorph in this dataset: 420.5 meV/atom

***

No. 5
# InMoC3 (PBEsol, optimized geometry)
data_InMoC3
_chemical_formula_sum 'In1 Mo1 C3'
_space_group_name_H-M_alt 'P m -3 m'
_space_group_IT_number 221
_space_group_name_Hall '-P 4 2 3'
_cell_length_a 4.117
_cell_length_b 4.117
_cell_length_c 4.117
_cell_angle_alpha 90.00
_cell_angle_beta 90.00
_cell_angle_gamma 90.00
loop_
_atom_site_label
_atom_site_type_symbol
_atom_site_fract_x
_atom_site_fract_y
_atom_site_fract_z
In1 In 0.000 0.000 0.000
Mo1 Mo 0.500 0.500 0.500
C1 C 0.000 0.000 0.500
# M_tot: 1.54 μB per cell
# Energy of formation: 3378 meV/atom

***

No. 6
# Y3Tc (PBEsol, optimized geometry)
data_Y3Tc
_chemical_formula_sum 'Y3 Tc1'
_space_group_name_H-M_alt 'P 4/m m m'
_space_group_IT_number 123
_space_group_name_Hall '-P 4 2'
_cell_length_a 4.612
_cell_length_b 4.612
_cell_length_c 4.460
_cell_angle_alpha 90.00
_cell_angle_beta 90.00
_cell_angle_gamma 90.00
loop_
_atom_site_label
_atom_site_type_symbol
_atom_site_fract_x
_atom_site_fract_y
_atom_site_fract_z
Y1 Y 0.000 0.000 0.000
Y2 Y 0.000 0.500 0.500
Tc1 Tc 0.500 0.500 0.000
# M_tot: 0.00 μB per cell
# Energy of formation: 295 meV/atom

***

No. 7
# OsRu3 (PBEsol, optimized geometry)
data_OsRu3
_chemical_formula_sum 'Os1 Ru3'
_space_group_name_H-M_alt 'P m -3 m'
_space_group_IT_number 221
_space_group_name_Hall '-P 4 2 3'
_cell_length_a 4.651
_cell_length_b 4.651
_cell_length_c 4.651
_cell_angle_alpha 90.00
_cell_angle_beta 90.00
_cell_angle_gamma 90.00
loop_
_atom_site_label
_atom_site_type_symbol
_atom_site_fract_x
_atom_site_fract_y
_atom_site_fract_z
Os1 Os 0.000 0.000 0.000
Ru1 Ru 0.000 0.000 0.500
# M_tot: 2.71 μB per cell
# Energy of formation: 2726 meV/atom

***

No. 8
# Re3NiSn (PBEsol, optimized geometry)
data_Re3NiSn
_chemical_formula_sum 'Re3 Ni1 Sn1'
_space_group_name_H-M_alt 'P m -3 m'
_space_group_IT_number 221
_space_group_name_Hall '-P 4 2 3'
_cell_length_a 4.733
_cell_length_b 4.733
_cell_length_c 4.733
_cell_angle_alpha 90.00
_cell_angle_beta 90.00
_cell_angle_gamma 90.00
loop_
_atom_site_label
_atom_site_type_symbol
_atom_site_fract_x
_atom_site_fract_y
_atom_site_fract_z
Re1 Re 0.000 0.000 0.500
Ni1 Ni 0.500 0.500 0.500
Sn1 Sn 0.000 0.000 0.000
# M_tot: 0.10 μB per cell
# Energy of formation: 3301 meV/atom